Material: DyPaCo
Method: DFT, PBE
State: relaxed

Cell: 6.4397 6.4397 6.4397 Å, 90.00 90.00 90.00°
Space group F-43m (No. 216)
Unique sites:
Dy: 0.0000 0.0000 0.0000 [4 per cell]
Pa: 0.2500 0.2500 0.7500 [4 per cell]
Co: 0.0000 0.0000 0.5000 [4 per cell]

Theoretical density: 11.25 g cm⁻³
E_form: 0.77 eV per atom
E above lowest polymorph: 3.033 eV/f.u.
Magnetic moment: 0.00 μB/cell


Material: DyPaCo
Method: DFT, PBE
State: relaxed

Cell: 5.9804 6.6879 6.7595 Å, 90.00 91.48 90.00°
Space group P2_1/c (No. 14)
Unique sites:
Dy: 0.1198 0.1494 0.3093 [4 per cell]
Pa: 0.3792 0.6955 0.4759 [4 per cell]
Co: 0.3950 0.0026 0.6715 [4 per cell]

Theoretical density: 11.12 g cm⁻³
E_form: -0.24 eV per atom
E above lowest polymorph: 0.000 eV/f.u.
Magnetic moment: 0.03 μB/cell


Material: Dy2CoPb2
Method: DFT, PBE
State: relaxed

Cell: 11.0861 4.4645 11.1343 Å, 90.00 116.72 90.00°
Space group C2/m (No. 12)
Unique sites:
Dy: 0.0070 0.0000 0.1698 [4 per cell]
Dy: 0.1860 0.0000 0.6300 [4 per cell]
Co: 0.2245 0.5000 0.8224 [4 per cell]
Pb: 0.0307 0.5000 0.3784 [4 per cell]
Pb: 0.1628 0.5000 0.0516 [4 per cell]

Theoretical density: 10.77 g cm⁻³
E: -101.48 eV per cell
Magnetic moment: 0.00 μB/cell


Material: TbDyCo2Pb
Method: DFT, PBE
State: relaxed

Cell: 3.8540 3.8532 14.1702 Å, 90.00 90.00 90.00°
Space group Amm2 (No. 38)
Unique sites:
Tb: 0.0000 0.0000 0.0000 [2 per cell]
Dy: 0.0000 0.0000 0.7196 [2 per cell]
Co: 0.5000 0.0000 0.1534 [2 per cell]
Co: 0.5000 0.0000 0.5672 [2 per cell]
Pb: 0.5000 0.0000 0.3595 [2 per cell]

Theoretical density: 10.20 g cm⁻³
E: -57.69 eV per cell
Magnetic moment: 2.96 μB/cell


Material: DyTmCo2Pb
Method: DFT, PBE
State: relaxed

Cell: 3.8183 3.8230 14.0099 Å, 90.00 90.00 90.00°
Space group Amm2 (No. 38)
Unique sites:
Dy: 0.0000 0.0000 0.0000 [2 per cell]
Tm: 0.0000 0.0000 0.2829 [2 per cell]
Co: 0.5000 0.0000 0.4345 [2 per cell]
Co: 0.5000 0.0000 0.8452 [2 per cell]
Pb: 0.5000 0.0000 0.6422 [2 per cell]

Theoretical density: 10.66 g cm⁻³
E: -57.46 eV per cell
Magnetic moment: 2.76 μB/cell


Material: DyCoPd
Method: DFT, PBE
State: relaxed

Cell: 6.1565 6.1565 6.1565 Å, 90.00 90.00 90.00°
Space group F-43m (No. 216)
Unique sites:
Dy: 0.0000 0.0000 0.0000 [4 per cell]
Co: 0.2500 0.2500 0.2500 [4 per cell]
Pd: 0.0000 0.0000 0.5000 [4 per cell]

Theoretical density: 9.33 g cm⁻³
E_form: -0.10 eV per atom
E above lowest polymorph: 0.000 eV/f.u.
Magnetic moment: 4.81 μB/cell


Number 6 is which compound? DyCoPd


Among the records above, which one has the highest theoretical density? number 1


Among the records above, which one has the lowest theoretical density? DyCoPd


Among the records above, which one has the lowest theoretical density? DyCoPd